KBr3 | PBE-GGA | optimized geometry

Calculated values
D(E_F) ... 0.000 states/eV per atom
Energy relative to the elements, uncorrected ... -0.89 eV/atom
Magnetic moment ... 0.00 Bohr magnetons per cell

Lattice parameters (Å, degrees): 5.3942 5.3942 23.3365 90.00 90.00 120.00
Last column: nearest neighbours and their distance in Å.
Space group R-3m (No. 166, hexagonal axes)
Unique sites:
K 0.0000 0.0000 0.0000 x3  6 Br 3.38
Br 0.0000 0.0000 0.3898 x6  1 Br 2.57
Br 0.0000 0.0000 0.5000 x3  2 Br 2.57